Material: Ac3CoAg3O8
Method: DFT, PBE with a Hubbard U
State: optimized geometry

The total energy comes out at -181.96 eV per cell.

It has space group C2/m (No. 12), with a = 12.837 Å, b = 7.794 Å, c = 7.897 Å, α = 90.00°, β = 126.63° and γ = 90.00°. The distinct sites, in fractional coordinates, are Ac at (0.000, 0.000, 0.000), Ac at (0.250, 0.250, 0.000), Co at (0.000, 0.500, 0.000), Ag at (0.000, 0.000, 0.500), Ag at (0.250, 0.250, 0.500), O at (0.082, 0.500, 0.878), O at (0.108, 0.000, 0.826) and O at (0.142, 0.256, 0.179).